Computed, not measured: an optimized crystal structure of LiCrHRh2 at the PBE-GGA level of DFT.

The space group is P4/mmm (No. 123) and the conventional cell measures 3.9587, 3.9587 and 3.5112 Å, with angles of 90.00, 90.00 and 90.00 degrees. The asymmetric unit holds Li at (0.0000, 0.0000, 0.0000), Cr at (0.5000, 0.5000, 0.0000), H at (0.0000, 0.0000, 0.5000) and Rh at (0.0000, 0.5000, 0.5000).

Its calculated total energy is -30.2 eV/cell. The total magnetization is 2.468 Bohr magnetons per cell.